# AcErUO6 (PBE-GGA, optimized geometry)
data_AcErUO6
_cell_length_a 5.8293
_cell_length_b 5.8293
_cell_length_c 10.3143
_cell_angle_alpha 90.00
_cell_angle_beta 90.00
_cell_angle_gamma 120.00
_symmetry_space_group_name_H-M 'P 1'
_symmetry_Int_Tables_number 1
loop_
_symmetry_equiv_pos_as_xyz
'x,y,z'
loop_
_atom_site_label
_atom_site_type_symbol
_atom_site_fract_x
_atom_site_fract_y
_atom_site_fract_z
Ac1 Ac 0.0000 0.0000 0.0000
Ac2 Ac 0.0000 0.0000 0.5000
Er1 Er 0.3333 0.6667 0.2500
Er2 Er 0.6667 0.3333 0.7500
U1 U 0.3333 0.6667 0.7500
U2 U 0.6667 0.3333 0.2500
O1 O 0.0194 0.3709 0.6420
O2 O 0.0194 0.6485 0.8580
O3 O 0.3515 0.3709 0.8580
O4 O 0.3515 0.9806 0.6420
O5 O 0.3709 0.0194 0.1420
O6 O 0.3709 0.3515 0.3580
O7 O 0.6291 0.6485 0.6420
O8 O 0.6291 0.9806 0.8580
O9 O 0.6485 0.0194 0.3580
O10 O 0.6485 0.6291 0.1420
O11 O 0.9806 0.3515 0.1420
O12 O 0.9806 0.6291 0.3580
# density of states at the Fermi level	0.0	states/eV per cell
# total energy	-160.74	eV/cell
# SG	No. 163
# calculated volume	151.77	Å³/f.u.